1.
VASP calculation (PBE) on a geometry-optimized Pr5Si2As2 structure.

a = 15.201 Å, b = 7.937 Å, c = 8.021 Å
α = 90.00°, β = 90.00°, γ = 90.00°
Space group Cmce (No. 64)
Asymmetric unit:
Pr (0.000, 0.000, 0.000)
Pr (0.138, 0.175, 0.330)
Si (0.000, 0.113, 0.613)
As (0.202, 0.000, 0.000)

Results
Electronic total energy ... -5.90 eV per atom
Formation energy (no corrections) ... -97.1 kJ/mol of atoms
Magnetic moment ... 0.0 μB per cell

2.
VASP calculation (PBE) on a geometry-optimized Pr8SiAs5 structure.

a = 9.125 Å, b = 9.125 Å, c = 9.135 Å
α = 90.00°, β = 90.00°, γ = 90.00°
Space group I-4 (No. 82)
Asymmetric unit:
Pr (0.065, 0.315, 0.059)
Pr (0.066, 0.183, 0.693)
Si (0.000, 0.000, 0.000)
As (0.000, 0.500, 0.750)
As (0.125, 0.249, 0.375)

Results
Electronic total energy ... -5.94 eV per atom
Formation energy (no corrections) ... -112.2 kJ/mol of atoms
Magnetic moment ... 0.0 μB per cell

3.
VASP calculation (PBE) on a geometry-optimized Pr2SiAs structure.

a = 4.2289 Å, b = 4.2289 Å, c = 21.7846 Å
α = 90.00°, β = 90.00°, γ = 120.00°
Space group R-3m (No. 166, hexagonal axes)
Asymmetric unit:
Pr (0.0000, 0.0000, 0.2481)
Si (0.0000, 0.0000, 0.0000)
As (0.0000, 0.0000, 0.5000)

Results
Electronic total energy ... -5.86 eV per atom
Formation energy (no corrections) ... -91.6 kJ/mol of atoms
Magnetic moment ... 0.0 μB per cell